A plane-wave DFT calculation with GGA-PBE was carried out for crystalline AcMg11Tl at its relaxed geometry.

Geometry as POSCAR:
```
AcMg11Tl
1.0
3.0058 -7.3537 0.0000
3.0058 7.3537 0.0000
-2.9229 0.0000 7.3193
Ac Mg Tl
1 11 1
Cartesian
0.0000 0.0000 0.0000
-1.4615 0.0000 3.6596
1.5029 3.6769 0.0000
0.1017 4.7340 4.7333
0.0535 1.5902 5.7411
2.9869 4.7340 2.5860
0.0535 -1.5902 5.7411
1.5029 -3.6769 0.0000
3.0351 1.5902 1.5782
0.1017 -4.7340 4.7333
3.0351 -1.5902 1.5782
2.9869 -4.7340 2.5860
1.5443 0.0000 3.6596
```

Results
- magnetization (μB/atom) = 0.00
- formation enthalpy at 0 K (eV per atom) = -0.08